Entry 1:
Sm5HoAl2 | PBE | optimized geometry

Lattice parameters (Å, degrees): 5.3757 5.3757 19.8934 90.00 90.00 120.00
Fractional positions:
Sm  0.0000  0.0000  0.3442
Sm  0.0000  0.0000  0.1558
Sm  0.6667  0.3333  0.2500
Sm  0.0000  0.0000  0.8442
Sm  0.6667  0.3333  0.0554
Sm  0.3333  0.6667  0.7500
Sm  0.3333  0.6667  0.9446
Sm  0.3333  0.6667  0.5554
Sm  0.6667  0.3333  0.4446
Sm  0.0000  0.0000  0.6558
Ho  0.3333  0.6667  0.2500
Ho  0.6667  0.3333  0.7500
Al  0.6667  0.3333  0.6011
Al  0.3333  0.6667  0.1011
Al  0.3333  0.6667  0.3989
Al  0.6667  0.3333  0.8989

## Properties
**Fermi-level density of states**: 24.57 states/eV/cell
**Polymorph energy (0 for the lowest one)**: 0.037 eV/atom
**Formation enthalpy at 0 K**: -0.027 eV per atom
**Space-group type**: P6_3/mmc

=====

Entry 2:
ThZnPt2 | PBE | optimized geometry

Lattice parameters (Å, degrees): 3.4663 3.4663 6.5144 90.00 90.00 90.00
Fractional positions:
Zn  0.5000  0.5000  0.0000
Pt  0.0000  0.0000  0.7854
Pt  0.0000  0.0000  0.2146
Th  0.5000  0.5000  0.5000

## Properties
**Fermi-level density of states**: 1.90 states/eV/cell
**Formation enthalpy at 0 K**: -0.792 eV per atom
**Space-group type**: P4/mmm

=====

Entry 3:
CsK2SrAs | PBE | optimized geometry

Lattice parameters (Å, degrees): 6.7009 6.3403 6.7009 90.00 90.00 90.00
Fractional positions:
Cs  0.0000  0.0000  0.0000
Sr  0.5000  0.5000  0.5000
As  0.0000  0.5000  0.0000
K  0.0000  0.0000  0.5000
K  0.5000  0.0000  0.0000

## Properties
**Fermi-level density of states**: 3.25 states/eV/cell
**Polymorph energy (0 for the lowest one)**: 0.669 eV/atom
**Formation enthalpy at 0 K**: 0.394 eV per atom
**Space-group type**: P4/mmm

=====

Entry 4:
Tm2GaIr | PBE | optimized geometry

Lattice parameters (Å, degrees): 3.4762 3.4762 6.8838 90.00 90.00 90.00
Fractional positions:
Ir  0.5000  0.5000  0.0000
Tm  0.0000  0.0000  0.7669
Tm  0.0000  0.0000  0.2331
Ga  0.5000  0.5000  0.5000

## Properties
**Fermi-level density of states**: 1.52 states/eV/cell
**Formation enthalpy at 0 K**: -0.778 eV per atom
**Space-group type**: P4/mmm

=====

Entry 5:
CoTe2Rh | PBE | optimized geometry

Lattice parameters (Å, degrees): 4.8001 4.8001 4.8001 60.00 60.00 60.00
Each line ends with the local moment (μB).
Fractional positions:
Co  0.5000  0.5000  0.5000  1.67
Rh  0.7500  0.7500  0.7500  0.20
Te  0.0000  0.0000  0.0000  0.00
Te  0.2500  0.2500  0.2500  -0.02

## Properties
**Fermi-level density of states**: 5.47 states/eV/cell
**Calculated total energy**: -4.466 eV/atom
**Space-group type**: F-43m

=====

Entry 6:
PuAlHgAu | PBE | optimized geometry

Lattice parameters (Å, degrees): 4.9799 4.9799 4.9799 60.00 60.00 60.00
Each line ends with the local moment (μB).
Fractional positions:
Al  0.0000  0.0000  0.0000  -0.02
Au  0.7500  0.7500  0.7500  0.01
Hg  0.2500  0.2500  0.2500  0.02
Pu  0.5000  0.5000  0.5000  5.23

## Properties
**Fermi-level density of states**: 13.77 states/eV/cell
**Formation enthalpy at 0 K**: -0.232 eV per atom
**Space-group type**: F-43m

=====

Entry 7:
MgSc2Ni | PBE | optimized geometry

Lattice parameters (Å, degrees): 3.5676 3.6834 6.6156 73.87 90.00 90.00
Each line ends with the local moment (μB).
Fractional positions:
Mg  0.0000  0.6800  0.5150  0.01
Ni  0.5000  0.5241  0.8263  0.04
Sc  0.0000  0.9770  0.9206  0.01
Sc  0.5000  0.3189  0.2382  0.24

## Properties
**Fermi-level density of states**: 3.59 states/eV/cell
**Formation enthalpy at 0 K**: -0.122 eV per atom
**Space-group type**: Amm2

=====

Entry 8:
CeUPa2 | PBE | optimized geometry

Lattice parameters (Å, degrees): 4.5341 4.6458 4.6458 90.00 90.00 90.00
Each line ends with the local moment (μB).
Fractional positions:
Pa  0.0000  0.0000  0.5000  0.02
Pa  0.0000  0.5000  0.0000  0.02
U  0.5000  0.0000  0.0000  1.28
Ce  0.5000  0.5000  0.5000  -0.02

## Properties
**Fermi-level density of states**: 11.64 states/eV/cell
**Polymorph energy (0 for the lowest one)**: 0.047 eV/atom
**Formation enthalpy at 0 K**: 0.170 eV per atom
**Space-group type**: P4/mmm

=====

Entry 9:
BaAlGa2O6 | PBE | optimized geometry

Lattice parameters (Å, degrees): 6.4970 7.5804 7.5804 92.94 69.74 69.74
Each line ends with the local moment (μB).
Fractional positions:
Ba  0.2500  0.8671  0.1329  0.00
Ba  0.7500  0.1329  0.8671  0.00
Al  0.2500  0.1899  0.8101  0.00
Al  0.7500  0.8101  0.1899  0.00
Ga  0.4007  0.7496  0.5912  -0.01
Ga  0.0993  0.4088  0.2504  -0.01
Ga  0.5993  0.2504  0.4088  -0.01
Ga  0.9007  0.5912  0.7496  -0.01
O  0.2275  0.9609  0.7898  0.03
O  0.2725  0.2102  0.0391  0.03
O  0.7725  0.0391  0.2102  0.03
O  0.7275  0.7898  0.9609  0.03
O  0.4848  0.8115  0.3560  -0.01
O  0.0152  0.6440  0.1885  -0.01
O  0.5152  0.1885  0.6440  -0.01
O  0.9848  0.3560  0.8115  -0.01
O  0.1587  0.6536  0.6003  0.38
O  0.3413  0.3997  0.3464  0.38
O  0.8413  0.3464  0.3997  0.38
O  0.6587  0.6003  0.6536  0.38

## Properties
**Calculated total energy**: -6.287 eV/atom
**Space-group type**: C2/c

=====

Entry 10:
Ta3FeBr | PBE | optimized geometry

Lattice parameters (Å, degrees): 4.6550 4.6550 4.6550 90.00 90.00 90.00
Fractional positions:
Fe  0.5000  0.5000  0.5000
Br  0.0000  0.0000  0.0000
Ta  0.0000  0.5000  0.0000
Ta  0.0000  0.0000  0.5000
Ta  0.5000  0.0000  0.0000

## Properties
**Fermi-level density of states**: 12.21 states/eV/cell
**Polymorph energy (0 for the lowest one)**: 0.890 eV/atom
**Space-group type**: Pm-3m

=====

Entry 11:
ReIN | PBE | optimized geometry

Lattice parameters (Å, degrees): 6.7902 3.3362 16.4609 90.00 113.03 90.00
Fractional positions:
I  0.6655  0.0000  0.3007
I  0.6655  0.5000  0.8007
I  0.6192  0.0000  0.0586
I  0.6192  0.5000  0.5586
Re  0.0543  0.0000  0.3055
Re  0.0543  0.5000  0.8055
Re  0.0238  0.0000  0.1588
Re  0.0238  0.5000  0.6588
N  0.1695  0.0000  0.8544
N  0.1695  0.5000  0.3544
N  0.1222  0.0000  0.6374
N  0.1222  0.5000  0.1374

## Properties
**Fermi-level density of states**: 2.01 states/eV/cell
**Polymorph energy (0 for the lowest one)**: 0.198 eV/atom
**Space-group type**: Cm

=====

Entry 12:
Dy3TmP4 | PBE | optimized geometry

Lattice parameters (Å, degrees): 3.9938 6.9137 6.9137 109.47 90.00 90.00
Fractional positions:
Dy  0.0000  0.0000  0.5000
Dy  0.5000  0.5000  0.5000
Dy  0.0000  0.5000  0.0000
Tm  0.5000  0.0000  0.0000
P  0.0000  0.2476  0.2476
P  0.5000  0.7513  0.2487
P  0.0000  0.7524  0.7524
P  0.5000  0.2487  0.7513

## Properties
**Fermi-level density of states**: 0.90 states/eV/cell
**Formation enthalpy at 0 K**: -1.612 eV per atom
**Space-group type**: Cmmm